Record 1
{
  "formula": "Hf2BeZn",
  "functional": "PBE-GGA",
  "state": "optimized geometry",
  "energy_ha_per_atom": -0.233,
  "e_form_ev_per_atom": -0.104,
  "de_polymorph_mev_per_atom": 21.9,
  "lattice": [[0.000, 3.222, 3.222], [3.222, 0.000, 3.222], [3.222, 3.222, 0.000]],
  "species": ["Hf", "Hf", "Be", "Zn"],
  "frac_coords": [[0.250, 0.250, 0.250], [0.750, 0.750, 0.750], [0.000, 0.000, 0.000], [0.500, 0.500, 0.500]]
}

---

Record 2
{
  "formula": "HfBe2Zn",
  "functional": "PBE-GGA",
  "state": "optimized geometry",
  "energy_ha_per_atom": -0.178,
  "e_form_ev_per_atom": -0.167,
  "lattice": [[-3.277, 1.404, 0.124], [-0.073, -0.559, 4.422], [2.557, 5.898, 0.788]],
  "species": ["Zn", "Zn", "Be", "Be", "Be", "Be", "Hf", "Hf"],
  "frac_coords": [[0.500, 0.250, 0.341], [0.500, 0.750, 0.659], [0.500, 0.500, 0.000], [0.000, 0.250, 0.088], [0.500, 0.000, 0.000], [0.000, 0.750, 0.912], [0.000, 0.250, 0.689], [0.000, 0.750, 0.311]]
}